#one
# Zr2TiCo3 (GGA-PBE, optimized geometry)
# DOS at the Fermi energy, states/eV/f.u.: 5.314
data_Zr2TiCo3
_chemical_formula_sum 'Zr4 Ti2 Co6'
_cell_length_a 4.030
_cell_length_b 4.972
_cell_length_c 9.643
_cell_angle_alpha 90.00
_cell_angle_beta 90.00
_cell_angle_gamma 90.00
_space_group_name_H-M_alt 'I m m m'
_space_group_IT_number 71
_space_group_name_Hall '-I 2 2'
loop_
_atom_site_label
_atom_site_type_symbol
_atom_site_fract_x
_atom_site_fract_y
_atom_site_fract_z
Zr1 Zr 0.000 0.000 0.176
Ti1 Ti 0.000 0.000 0.500
Co1 Co 0.000 0.500 0.136
Co2 Co 0.000 0.500 0.500

***

#two
# Zr2TiCo3 (GGA-PBE, optimized geometry)
# DOS at the Fermi energy, states/eV/f.u.: 6.784
data_Zr2TiCo3
_chemical_formula_sum 'Zr8 Ti4 Co12'
_cell_length_a 4.354
_cell_length_b 6.340
_cell_length_c 13.204
_cell_angle_alpha 90.00
_cell_angle_beta 90.00
_cell_angle_gamma 90.00
_space_group_name_H-M_alt 'I m m a'
_space_group_IT_number 74
_space_group_name_Hall '-I 2b 2'
loop_
_atom_site_label
_atom_site_type_symbol
_atom_site_fract_x
_atom_site_fract_y
_atom_site_fract_z
Zr1 Zr 0.000 0.250 0.003
Zr2 Zr 0.000 0.250 0.667
Ti1 Ti 0.000 0.250 0.330
Co1 Co 0.000 0.000 0.500
Co2 Co 0.000 0.025 0.174

***

In order of decreasing stability: #two, #one.

***

#one
# ZrTi3Co2 (GGA-PBE, optimized geometry)
# DOS at the Fermi energy, states/eV/f.u.: 6.279
data_ZrTi3Co2
_chemical_formula_sum 'Zr4 Ti12 Co8'
_cell_length_a 13.749
_cell_length_b 4.320
_cell_length_c 7.031
_cell_angle_alpha 90.00
_cell_angle_beta 115.71
_cell_angle_gamma 90.00
_space_group_name_H-M_alt 'C 1 2/m 1'
_space_group_IT_number 12
_space_group_name_Hall '-C 2y'
loop_
_atom_site_label
_atom_site_type_symbol
_atom_site_fract_x
_atom_site_fract_y
_atom_site_fract_z
Zr1 Zr 0.128 0.000 0.194
Ti1 Ti 0.062 0.000 0.717
Ti2 Ti 0.111 0.500 0.506
Ti3 Ti 0.196 0.500 0.985
Co1 Co 0.016 0.500 0.846
Co2 Co 0.219 0.000 0.623

***

#two
# ZrTi3Co2 (GGA-PBE, optimized geometry)
# DOS at the Fermi energy, states/eV/f.u.: 7.520
data_ZrTi3Co2
_chemical_formula_sum 'Zr4 Ti12 Co8'
_cell_length_a 8.957
_cell_length_b 8.031
_cell_length_c 5.259
_cell_angle_alpha 90.00
_cell_angle_beta 90.00
_cell_angle_gamma 90.00
_space_group_name_H-M_alt 'C m c m'
_space_group_IT_number 63
_space_group_name_Hall '-C 2c 2'
loop_
_atom_site_label
_atom_site_type_symbol
_atom_site_fract_x
_atom_site_fract_y
_atom_site_fract_z
Zr1 Zr 0.000 0.106 0.250
Ti1 Ti 0.000 0.457 0.250
Ti2 Ti 0.166 0.233 0.750
Co1 Co 0.237 0.500 0.000

***

In order of decreasing stability: #two, #one.

***

#one
# Zr3TiCo (GGA-PBE, optimized geometry)
# DOS at the Fermi energy, states/eV/f.u.: 7.106
data_Zr3TiCo
_chemical_formula_sum 'Zr3 Ti1 Co1'
_cell_length_a 4.848
_cell_length_b 4.848
_cell_length_c 4.848
_cell_angle_alpha 90.00
_cell_angle_beta 90.00
_cell_angle_gamma 90.00
_space_group_name_H-M_alt 'P m -3 m'
_space_group_IT_number 221
_space_group_name_Hall '-P 4 2 3'
loop_
_atom_site_label
_atom_site_type_symbol
_atom_site_fract_x
_atom_site_fract_y
_atom_site_fract_z
Zr1 Zr 0.000 0.000 0.500
Ti1 Ti 0.000 0.000 0.000
Co1 Co 0.500 0.500 0.500

***

#two
# Zr3TiCo (GGA-PBE, optimized geometry)
# DOS at the Fermi energy, states/eV/f.u.: 5.503
data_Zr3TiCo
_chemical_formula_sum 'Zr3 Ti1 Co1'
_cell_length_a 4.816
_cell_length_b 4.816
_cell_length_c 4.816
_cell_angle_alpha 90.00
_cell_angle_beta 90.00
_cell_angle_gamma 90.00
_space_group_name_H-M_alt 'P m -3 m'
_space_group_IT_number 221
_space_group_name_Hall '-P 4 2 3'
loop_
_atom_site_label
_atom_site_type_symbol
_atom_site_fract_x
_atom_site_fract_y
_atom_site_fract_z
Zr1 Zr 0.000 0.000 0.500
Ti1 Ti 0.500 0.500 0.500
Co1 Co 0.000 0.000 0.000

***

#three
# Zr3TiCo (GGA-PBE, optimized geometry)
# DOS at the Fermi energy, states/eV/f.u.: 5.124
data_Zr3TiCo
_chemical_formula_sum 'Zr12 Ti4 Co4'
_cell_length_a 8.472
_cell_length_b 6.049
_cell_length_c 7.941
_cell_angle_alpha 90.00
_cell_angle_beta 90.00
_cell_angle_gamma 90.00
_space_group_name_H-M_alt 'I m a 2'
_space_group_IT_number 46
_space_group_name_Hall 'I 2 -2a'
loop_
_atom_site_label
_atom_site_type_symbol
_atom_site_fract_x
_atom_site_fract_y
_atom_site_fract_z
Zr1 Zr 0.047 0.247 0.000
Zr2 Zr 0.250 0.505 0.758
Ti1 Ti 0.250 0.505 0.240
Co1 Co 0.250 0.723 0.498

***

In order of decreasing stability: #three, #two, #one.

***

#one
# Zr3TiCo2 (GGA-PBE, optimized geometry)
# DOS at the Fermi energy, states/eV/f.u.: 6.614
data_Zr3TiCo2
_chemical_formula_sum 'Zr12 Ti4 Co8'
_cell_length_a 7.242
_cell_length_b 7.195
_cell_length_c 10.907
_cell_angle_alpha 90.00
_cell_angle_beta 131.04
_cell_angle_gamma 90.00
_space_group_name_H-M_alt 'P 1 21/c 1'
_space_group_IT_number 14
_space_group_name_Hall '-P 2ybc'
loop_
_atom_site_label
_atom_site_type_symbol
_atom_site_fract_x
_atom_site_fract_y
_atom_site_fract_z
Zr1 Zr 0.108 0.033 0.164
Zr2 Zr 0.124 0.581 0.177
Zr3 Zr 0.346 0.667 0.992
Ti1 Ti 0.405 0.192 0.650
Co1 Co 0.196 0.216 0.851
Co2 Co 0.411 0.502 0.582

***

#two
# Zr3TiCo2 (GGA-PBE, optimized geometry)
# DOS at the Fermi energy, states/eV/f.u.: 6.657
data_Zr3TiCo2
_chemical_formula_sum 'Zr12 Ti4 Co8'
_cell_length_a 6.131
_cell_length_b 11.980
_cell_length_c 6.367
_cell_angle_alpha 90.00
_cell_angle_beta 90.00
_cell_angle_gamma 90.00
_space_group_name_H-M_alt 'I b a m'
_space_group_IT_number 72
_space_group_name_Hall '-I 2 2c'
loop_
_atom_site_label
_atom_site_type_symbol
_atom_site_fract_x
_atom_site_fract_y
_atom_site_fract_z
Zr1 Zr 0.000 0.000 0.250
Zr2 Zr 0.000 0.269 0.250
Ti1 Ti 0.000 0.500 0.000
Co1 Co 0.217 0.135 0.000

***

In order of decreasing stability: #one, #two.

***

#one
# ZrTi4Co (GGA-PBE, optimized geometry)
# DOS at the Fermi energy, states/eV/f.u.: 5.656
data_ZrTi4Co
_chemical_formula_sum 'Zr1 Ti4 Co1'
_cell_length_a 2.993
_cell_length_b 2.993
_cell_length_c 11.229
_cell_angle_alpha 90.00
_cell_angle_beta 90.09
_cell_angle_gamma 90.00
_space_group_name_H-M_alt 'P 1 2/m 1'
_space_group_IT_number 10
_space_group_name_Hall '-P 2y'
loop_
_atom_site_label
_atom_site_type_symbol
_atom_site_fract_x
_atom_site_fract_y
_atom_site_fract_z
Zr1 Zr 0.000 0.000 0.000
Ti1 Ti 0.001 0.000 0.633
Ti2 Ti 0.499 0.500 0.202
Co1 Co 0.500 0.500 0.500

***

#two
# ZrTi4Co (GGA-PBE, optimized geometry)
# DOS at the Fermi energy, states/eV/f.u.: 6.249
data_ZrTi4Co
_chemical_formula_sum 'Zr2 Ti8 Co2'
_cell_length_a 9.614
_cell_length_b 4.498
_cell_length_c 5.515
_cell_angle_alpha 90.00
_cell_angle_beta 122.30
_cell_angle_gamma 90.00
_space_group_name_H-M_alt 'C 1 2/m 1'
_space_group_IT_number 12
_space_group_name_Hall '-C 2y'
loop_
_atom_site_label
_atom_site_type_symbol
_atom_site_fract_x
_atom_site_fract_y
_atom_site_fract_z
Zr1 Zr 0.000 0.000 0.000
Ti1 Ti 0.151 0.500 0.807
Ti2 Ti 0.208 0.500 0.341
Co1 Co 0.000 0.000 0.500

***

In order of decreasing stability: #one, #two.

***

#one
# Tl3Co5 (GGA-PBE, optimized geometry)
# DOS at the Fermi energy, states/eV/f.u.: 12.535
data_Tl3Co5
_chemical_formula_sum 'Tl6 Co10'
_cell_length_a 6.347
_cell_length_b 8.903
_cell_length_c 4.321
_cell_angle_alpha 90.00
_cell_angle_beta 90.00
_cell_angle_gamma 90.00
_space_group_name_H-M_alt 'C m m m'
_space_group_IT_number 65
_space_group_name_Hall '-C 2 2'
loop_
_atom_site_label
_atom_site_type_symbol
_atom_site_fract_x
_atom_site_fract_y
_atom_site_fract_z
Tl1 Tl 0.000 0.000 0.000
Tl2 Tl 0.000 0.257 0.500
Co1 Co 0.000 0.500 0.000
Co2 Co 0.233 0.500 0.500
Co3 Co 0.250 0.250 0.000

***

#two
# Tl3Co5 (GGA-PBE, optimized geometry)
# DOS at the Fermi energy, states/eV/f.u.: 9.328
data_Tl3Co5
_chemical_formula_sum 'Tl12 Co20'
_cell_length_a 6.544
_cell_length_b 12.888
_cell_length_c 7.019
_cell_angle_alpha 90.00
_cell_angle_beta 117.33
_cell_angle_gamma 90.00
_space_group_name_H-M_alt 'C 1 m 1'
_space_group_IT_number 8
_space_group_name_Hall 'C -2y'
loop_
_atom_site_label
_atom_site_type_symbol
_atom_site_fract_x
_atom_site_fract_y
_atom_site_fract_z
Tl1 Tl 0.000 0.000 0.000
Tl2 Tl 0.086 0.500 0.127
Tl3 Tl 0.295 0.287 0.559
Tl4 Tl 0.460 0.250 0.079
Co1 Co 0.034 0.089 0.392
Co2 Co 0.090 0.359 0.798
Co3 Co 0.197 0.097 0.769
Co4 Co 0.247 0.500 0.573
Co5 Co 0.376 0.104 0.352
Co6 Co 0.397 0.000 0.629

***

In order of decreasing stability: #two, #one.

***

#one
# Tl5Co4 (GGA-PBE, optimized geometry)
# DOS at the Fermi energy, states/eV/f.u.: 8.793
data_Tl5Co4
_chemical_formula_sum 'Tl10 Co8'
_cell_length_a 10.794
_cell_length_b 10.794
_cell_length_c 3.505
_cell_angle_alpha 90.00
_cell_angle_beta 90.00
_cell_angle_gamma 90.00
_space_group_name_H-M_alt 'I 4/m m m'
_space_group_IT_number 139
_space_group_name_Hall '-I 4 2'
loop_
_atom_site_label
_atom_site_type_symbol
_atom_site_fract_x
_atom_site_fract_y
_atom_site_fract_z
Tl1 Tl 0.000 0.000 0.000
Tl2 Tl 0.170 0.170 0.500
Co1 Co 0.000 0.391 0.000

***

#two
# Tl5Co4 (GGA-PBE, optimized geometry)
# DOS at the Fermi energy, states/eV/f.u.: 9.080
data_Tl5Co4
_chemical_formula_sum 'Tl10 Co8'
_cell_length_a 8.0180
_cell_length_b 8.0180
_cell_length_c 5.8575
_cell_angle_alpha 90.00
_cell_angle_beta 90.00
_cell_angle_gamma 120.00
_space_group_name_H-M_alt 'P 63/m c m'
_space_group_IT_number 193
_space_group_name_Hall '-P 6c 2'
loop_
_atom_site_label
_atom_site_type_symbol
_atom_site_fract_x
_atom_site_fract_y
_atom_site_fract_z
Tl1 Tl 0.0000 0.2745 0.2500
Tl2 Tl 0.3333 0.6667 0.0000
Co1 Co 0.0000 0.0000 0.0000
Co2 Co 0.0000 0.3918 0.7500

***

In order of decreasing stability: #one, #two.

***

#one
# Tl5Co3 (GGA-PBE, optimized geometry)
# DOS at the Fermi energy, states/eV/f.u.: 11.275
data_Tl5Co3
_chemical_formula_sum 'Tl10 Co6'
_cell_length_a 7.6882
_cell_length_b 7.6882
_cell_length_c 6.2158
_cell_angle_alpha 90.00
_cell_angle_beta 90.00
_cell_angle_gamma 120.00
_space_group_name_H-M_alt 'P 63/m c m'
_space_group_IT_number 193
_space_group_name_Hall '-P 6c 2'
loop_
_atom_site_label
_atom_site_type_symbol
_atom_site_fract_x
_atom_site_fract_y
_atom_site_fract_z
Tl1 Tl 0.0000 0.2417 0.2500
Tl2 Tl 0.3333 0.6667 0.0000
Co1 Co 0.0000 0.4020 0.7500

***

#two
# Tl5Co3 (GGA-PBE, optimized geometry)
# DOS at the Fermi energy, states/eV/f.u.: 7.441
data_Tl5Co3
_chemical_formula_sum 'Tl10 Co6'
_cell_length_a 6.130
_cell_length_b 6.524
_cell_length_c 9.466
_cell_angle_alpha 89.11
_cell_angle_beta 72.22
_cell_angle_gamma 85.24
_space_group_name_H-M_alt 'P 1'
_space_group_IT_number 1
_space_group_name_Hall 'P 1'
loop_
_atom_site_label
_atom_site_type_symbol
_atom_site_fract_x
_atom_site_fract_y
_atom_site_fract_z
Tl1 Tl 0.000 0.000 0.000
Tl2 Tl 0.008 0.531 0.860
Tl3 Tl 0.107 0.082 0.637
Tl4 Tl 0.179 0.620 0.455
Tl5 Tl 0.316 0.153 0.249
Tl6 Tl 0.372 0.642 0.074
Tl7 Tl 0.543 0.076 0.880
Tl8 Tl 0.614 0.486 0.686
Tl9 Tl 0.637 0.918 0.531
Tl10 Tl 0.797 0.566 0.250
Co1 Co 0.001 0.893 0.286
Co2 Co 0.319 0.810 0.779
Co3 Co 0.489 0.314 0.467
Co4 Co 0.684 0.322 0.051
Co5 Co 0.747 0.160 0.262
Co6 Co 0.892 0.251 0.454

***

In order of decreasing stability: #two, #one.

***

#one
# Tl2Co3 (GGA-PBE, optimized geometry)
# DOS at the Fermi energy, states/eV/f.u.: 3.687
data_Tl2Co3
_chemical_formula_sum 'Tl2 Co3'
_cell_length_a 3.9890
_cell_length_b 3.9890
_cell_length_c 7.3116
_cell_angle_alpha 90.00
_cell_angle_beta 90.00
_cell_angle_gamma 120.00
_space_group_name_H-M_alt 'P -3 m 1'
_space_group_IT_number 164
_space_group_name_Hall '-P 3 2"'
loop_
_atom_site_label
_atom_site_type_symbol
_atom_site_fract_x
_atom_site_fract_y
_atom_site_fract_z
Tl1 Tl 0.3333 0.6667 0.1784
Co1 Co 0.0000 0.0000 0.5000
Co2 Co 0.3333 0.6667 0.5591

***

#two
# Tl2Co3 (GGA-PBE, optimized geometry)
# DOS at the Fermi energy, states/eV/f.u.: 5.609
data_Tl2Co3
_chemical_formula_sum 'Tl6 Co9'
_cell_length_a 3.2420
_cell_length_b 3.2420
_cell_length_c 28.4739
_cell_angle_alpha 90.00
_cell_angle_beta 90.00
_cell_angle_gamma 120.00
_space_group_name_H-M_alt 'R -3 m'
_space_group_IT_number 166
_space_group_name_Hall '-R 3 2"'
loop_
_atom_site_label
_atom_site_type_symbol
_atom_site_fract_x
_atom_site_fract_y
_atom_site_fract_z
Tl1 Tl 0.0000 0.0000 0.0970
Co1 Co 0.0000 0.0000 0.3117
Co2 Co 0.0000 0.0000 0.5000

***

In order of decreasing stability: #one, #two.

***

#one
# Tl5Co (GGA-PBE, optimized geometry)
# DOS at the Fermi energy, states/eV/f.u.: 3.459
data_Tl5Co
_chemical_formula_sum 'Tl10 Co2'
_cell_length_a 3.305
_cell_length_b 22.996
_cell_length_c 4.403
_cell_angle_alpha 90.00
_cell_angle_beta 90.00
_cell_angle_gamma 90.00
_space_group_name_H-M_alt 'C m m m'
_space_group_IT_number 65
_space_group_name_Hall '-C 2 2'
loop_
_atom_site_label
_atom_site_type_symbol
_atom_site_fract_x
_atom_site_fract_y
_atom_site_fract_z
Tl1 Tl 0.000 0.000 0.000
Tl2 Tl 0.000 0.104 0.500
Tl3 Tl 0.000 0.314 0.000
Co1 Co 0.000 0.500 0.500

***

#two
# Tl5Co (GGA-PBE, optimized geometry)
# DOS at the Fermi energy, states/eV/f.u.: 8.191
data_Tl5Co
_chemical_formula_sum 'Tl5 Co1'
_cell_length_a 6.0890
_cell_length_b 6.0890
_cell_length_c 5.9623
_cell_angle_alpha 90.00
_cell_angle_beta 90.00
_cell_angle_gamma 120.00
_space_group_name_H-M_alt 'P 6/m m m'
_space_group_IT_number 191
_space_group_name_Hall '-P 6 2'
loop_
_atom_site_label
_atom_site_type_symbol
_atom_site_fract_x
_atom_site_fract_y
_atom_site_fract_z
Tl1 Tl 0.0000 0.5000 0.0000
Tl2 Tl 0.3333 0.6667 0.5000
Co1 Co 0.0000 0.0000 0.5000

***

#three
# Tl5Co (GGA-PBE, optimized geometry)
# DOS at the Fermi energy, states/eV/f.u.: 5.766
data_Tl5Co
_chemical_formula_sum 'Tl5 Co1'
_cell_length_a 3.307
_cell_length_b 3.307
_cell_length_c 14.272
_cell_angle_alpha 90.00
_cell_angle_beta 90.00
_cell_angle_gamma 90.00
_space_group_name_H-M_alt 'P 4/m m m'
_space_group_IT_number 123
_space_group_name_Hall '-P 4 2'
loop_
_atom_site_label
_atom_site_type_symbol
_atom_site_fract_x
_atom_site_fract_y
_atom_site_fract_z
Tl1 Tl 0.000 0.000 0.000
Tl2 Tl 0.000 0.000 0.386
Tl3 Tl 0.500 0.500 0.195
Co1 Co 0.500 0.500 0.500

***

In order of decreasing stability: #three, #one, #two.